HfZn2Cl8: relaxed, PBE-GGA.

Values from the calculation:
ρ ... 2.70 g/cm3
Total magnetization ... 0.01 μB per cell
Total DFT energy (no corrections) ... -3.9014 eV per atom
Uncorrected formation energy ... -1.4219 eV/atom

CIF file:
```
data_HfZn2Cl8
_chemical_formula_sum 'Hf2 Zn4 Cl16'
_symmetry_space_group_name_H-M 'C 1 2/m 1'
_symmetry_Int_Tables_number 12
_symmetry_space_group_name_Hall '-C 2y'
_cell_length_a 13.059
_cell_length_b 8.426
_cell_length_c 8.856
_cell_angle_alpha 90.00
_cell_angle_beta 131.65
_cell_angle_gamma 90.00
loop_
_atom_site_label
_atom_site_fract_x
_atom_site_fract_y
_atom_site_fract_z
Hf1 0.000 0.000 0.000
Zn1 0.157 0.500 0.659
Cl1 0.000 0.000 0.269
Cl2 0.005 0.500 0.311
Cl3 0.187 0.208 0.184
```

---

HfZnCl2: relaxed, PBE-GGA.

Values from the calculation:
ρ ... 5.73 g/cm3
Total magnetization ... 0.00 μB per cell
Total DFT energy (no corrections) ... -4.5790 eV per atom
Uncorrected formation energy ... -0.8488 eV/atom
Distance to the lowest polymorph of the same formula ... 0.000 eV per atom

CIF file:
```
data_HfZnCl2
_chemical_formula_sum 'Hf3 Zn3 Cl6'
_symmetry_space_group_name_H-M 'R -3 m'
_symmetry_Int_Tables_number 166
_symmetry_space_group_name_Hall '-R 3 2"'
_cell_length_a 3.2029
_cell_length_b 3.2029
_cell_length_c 30.8307
_cell_angle_alpha 90.00
_cell_angle_beta 90.00
_cell_angle_gamma 120.00
loop_
_atom_site_label
_atom_site_fract_x
_atom_site_fract_y
_atom_site_fract_z
Hf1 0.0000 0.0000 0.0000
Zn1 0.0000 0.0000 0.5000
Cl1 0.0000 0.0000 0.3931
```

---

Hf2Zn2Cl: relaxed, PBE-GGA.

Values from the calculation:
ρ ... 9.09 g/cm3
Total magnetization ... 0.00 μB per cell
Total DFT energy (no corrections) ... -5.1446 eV per atom
Uncorrected formation energy ... -0.2843 eV/atom

CIF file:
```
data_Hf2Zn2Cl
_chemical_formula_sum 'Hf4 Zn4 Cl2'
_symmetry_space_group_name_H-M 'P 4/m b m'
_symmetry_Int_Tables_number 127
_symmetry_space_group_name_Hall '-P 4 2ab'
_cell_length_a 6.746
_cell_length_b 6.746
_cell_length_c 4.198
_cell_angle_alpha 90.00
_cell_angle_beta 90.00
_cell_angle_gamma 90.00
loop_
_atom_site_label
_atom_site_fract_x
_atom_site_fract_y
_atom_site_fract_z
Hf1 0.161 0.339 0.000
Zn1 0.137 0.637 0.500
Cl1 0.000 0.000 0.000
```

---

HfZnCl2: relaxed, PBE-GGA.

Values from the calculation:
ρ ... 4.51 g/cm3
Total magnetization ... 4.23 μB per cell
Total DFT energy (no corrections) ... -4.2545 eV per atom
Uncorrected formation energy ... -0.5243 eV/atom
Distance to the lowest polymorph of the same formula ... 0.325 eV per atom

CIF file:
```
data_HfZnCl2
_chemical_formula_sum 'Hf4 Zn4 Cl8'
_symmetry_space_group_name_H-M 'I -4 2 d'
_symmetry_Int_Tables_number 122
_symmetry_space_group_name_Hall 'I -4 2bw'
_cell_length_a 9.068
_cell_length_b 9.068
_cell_length_c 5.643
_cell_angle_alpha 90.00
_cell_angle_beta 90.00
_cell_angle_gamma 90.00
loop_
_atom_site_label
_atom_site_fract_x
_atom_site_fract_y
_atom_site_fract_z
Hf1 0.000 0.000 0.000
Zn1 0.000 0.000 0.500
Cl1 0.090 0.250 0.125
```